The following is a PBE-GGA calculation of BaY2Si after structural relaxation, from Alexandria via LeMat-Bulk.

a = 3.7741 Å, b = 3.5172 Å, c = 10.4162 Å
α = 70.39°, β = 90.00°, γ = 90.00°
Fractional positions:
1 Ba 0.5000 0.2500 0.2500
2 Si 0.5000 0.7500 0.7500
3 Y 0.0000 0.0829 0.9149
4 Y 0.0000 0.4171 0.5851

## Properties
DOS(E_F)	2.98	states/eV/f.u.
energy	-20.9	eV/f.u.
uncorrected formation energy	-168	meV per atom
crystal system	monoclinic
magnetization	0.00	μB/cell

---

The following is a PBE-GGA calculation of TaCoNi4 after structural relaxation, from Alexandria via LeMat-Bulk.

a = 4.0555 Å, b = 4.0555 Å, c = 4.9817 Å
α = 89.96°, β = 89.96°, γ = 120.00°
Fractional positions:
1 Ta 0.0000 0.5000 0.0000
2 Co 0.0000 0.5000 0.5000
3 Ni 0.3333 0.1666 0.7385
4 Ni 0.6666 0.8333 0.7385
5 Ni 0.3334 0.1667 0.2615
6 Ni 0.6667 0.8334 0.2615

## Properties
DOS(E_F)	4.52	states/eV/f.u.
energy	-43.0	eV/f.u.
crystal system	hexagonal
magnetization	0.29	μB/cell
energy of formation from the pure elements	-0.161	eV/atom

---

The following is a PBE-GGA calculation of YEr3Ir3 after structural relaxation, from Alexandria via LeMat-Bulk.

a = 5.8958 Å, b = 5.8460 Å, c = 5.8958 Å
α = 109.30°, β = 109.64°, γ = 109.30°
Fractional positions:
1 Y 0.0000 0.5030 0.0000
2 Er 0.4996 0.0036 0.0000
3 Er 0.5004 0.5039 0.5004
4 Er 0.0000 0.0036 0.4996
5 Ir 0.5001 0.5037 0.0000
6 Ir 0.4999 0.0036 0.4999
7 Ir 0.0000 0.5037 0.5001

## Properties
DOS(E_F)	6.50	states/eV/f.u.
energy	-52.1	eV/f.u.
crystal system	trigonal
magnetization	0.00	μB/cell
energy of formation from the pure elements	-0.763	eV/atom

---

The following is a PBE-GGA calculation of DyTm3Pb after structural relaxation, from Alexandria via LeMat-Bulk.

a = 8.4714 Å, b = 8.8723 Å, c = 9.3851 Å
α = 121.31°, β = 90.00°, γ = 90.00°
Fractional positions:
1 Dy 0.9373 0.7060 0.2881
2 Dy 0.0627 0.2940 0.7119
3 Dy 0.4373 0.2940 0.2119
4 Dy 0.5627 0.7060 0.7881
5 Tm 0.0857 0.0910 0.2971
6 Tm 0.9143 0.9090 0.7029
7 Tm 0.5857 0.9090 0.2029
8 Tm 0.4143 0.0910 0.7971
9 Tm 0.5639 0.7171 0.4315
10 Tm 0.4361 0.2829 0.5685
11 Tm 0.0639 0.2829 0.0685
12 Tm 0.9361 0.7171 0.9315
13 Tm 0.1914 0.5755 0.5387
14 Tm 0.8086 0.4245 0.4613
15 Tm 0.6914 0.4245 0.9613
16 Tm 0.3086 0.5755 0.0387
17 Pb 0.2499 0.9033 0.4544
18 Pb 0.7501 0.0967 0.5456
19 Pb 0.7499 0.0967 0.0456
20 Pb 0.2501 0.9033 0.9544

## Properties
DOS(E_F)	5.83	states/eV/f.u.
energy	-22.4	eV/f.u.
crystal system	monoclinic
magnetization	0.00	μB/cell
energy of formation from the pure elements	-0.131	eV/atom

---

The following is a PBE-GGA calculation of Tl3Pd4 after structural relaxation, from Alexandria via LeMat-Bulk.

a = 3.3403 Å, b = 3.6420 Å, c = 11.1498 Å
α = 99.40°, β = 98.61°, γ = 90.00°
Fractional positions:
1 Tl 0.8494 0.3494 0.6987
2 Tl 0.0000 0.5000 0.0000
3 Tl 0.1506 0.6506 0.3013
4 Pd 0.7134 0.2134 0.4269
5 Pd 0.2866 0.7866 0.5731
6 Pd 0.4275 0.9275 0.8549
7 Pd 0.5725 0.0725 0.1451

## Properties
DOS(E_F)	2.85	states/eV/f.u.
energy	-28.7	eV/f.u.
crystal system	orthorhombic
magnetization	0.00	μB/cell
energy of formation from the pure elements	-0.125	eV/atom

---

The following is a PBE-GGA calculation of NaLa2Ge2 after structural relaxation, from Alexandria via LeMat-Bulk.

a = 4.3433 Å, b = 7.9570 Å, c = 7.9570 Å
α = 90.00°, β = 90.00°, γ = 90.00°
Fractional positions:
1 Na 0.0000 0.0000 0.0000
2 Na 0.0000 0.5000 0.5000
3 La 0.5000 0.1786 0.6786
4 La 0.5000 0.6786 0.8214
5 La 0.5000 0.8214 0.3214
6 La 0.5000 0.3214 0.1786
7 Ge 0.0000 0.3847 0.8847
8 Ge 0.0000 0.8847 0.6153
9 Ge 0.0000 0.6153 0.1153
10 Ge 0.0000 0.1153 0.3847

## Properties
DOS(E_F)	2.76	states/eV/f.u.
energy above the most stable polymorph in this dataset	0.000	eV/atom
energy	-23.6	eV/f.u.
crystal system	tetragonal
magnetization	1.41	μB/cell
energy of formation from the pure elements	-0.638	eV/atom

---

The following is a PBE-GGA calculation of CaRu4Pt after structural relaxation, from Alexandria via LeMat-Bulk.

a = 5.1960 Å, b = 5.1960 Å, c = 5.1960 Å
α = 60.00°, β = 60.00°, γ = 60.00°
Fractional positions:
1 Ca 0.7500 0.7500 0.7500
2 Ru 0.8775 0.3742 0.3742
3 Ru 0.3742 0.3742 0.8775
4 Ru 0.3742 0.8775 0.3742
5 Ru 0.3742 0.3742 0.3742
6 Pt 0.0000 0.0000 0.0000

## Properties
DOS(E_F)	9.08	states/eV/f.u.
energy	-43.2	eV/f.u.
crystal system	cubic
magnetization	1.85	μB/cell
energy of formation from the pure elements	0.325	eV/atom

---

The following is a PBE-GGA calculation of LaSm2Tl2Hg2 after structural relaxation, from Alexandria via LeMat-Bulk.

a = 5.0639 Å, b = 5.0639 Å, c = 9.5999 Å
α = 74.71°, β = 74.71°, γ = 60.00°
Fractional positions:
1 La 0.0000 0.0000 0.0000
2 Sm 0.1341 0.1341 0.5976
3 Sm 0.8659 0.8659 0.4024
4 Tl 0.7301 0.7301 0.8096
5 Tl 0.2699 0.2699 0.1904
6 Hg 0.5653 0.5653 0.3042
7 Hg 0.4347 0.4347 0.6958

## Properties
DOS(E_F)	4.09	states/eV/f.u.
energy	-21.6	eV/f.u.
crystal system	trigonal
magnetization	0.00	μB/cell
energy of formation from the pure elements	-0.265	eV/atom

---

The following is a PBE-GGA calculation of TaCdTe2 after structural relaxation, from Alexandria via LeMat-Bulk.

a = 3.2285 Å, b = 3.2285 Å, c = 11.0651 Å
α = 90.00°, β = 90.00°, γ = 112.35°
Fractional positions:
1 Cd 0.5000 0.5000 0.2500
2 Te 0.0000 0.0000 0.9476
3 Te 0.0000 0.0000 0.5524
4 Ta 0.5000 0.5000 0.7500

## Properties
DOS(E_F)	2.72	states/eV/f.u.
energy	-18.3	eV/f.u.
uncorrected formation energy	177	meV per atom
crystal system	orthorhombic
magnetization	0.00	μB/cell

---

The following is a PBE-GGA calculation of Ho2Mg2Tl after structural relaxation, from Alexandria via LeMat-Bulk.

a = 3.8666 Å, b = 8.5992 Å, c = 8.5992 Å
α = 90.00°, β = 90.00°, γ = 90.00°
Fractional positions:
1 Ho 0.0000 0.6483 0.1483
2 Ho 0.0000 0.1483 0.3517
3 Ho 0.0000 0.3517 0.8517
4 Ho 0.0000 0.8517 0.6483
5 Mg 0.5000 0.1482 0.6482
6 Mg 0.5000 0.6482 0.8518
7 Mg 0.5000 0.8518 0.3518
8 Mg 0.5000 0.3518 0.1482
9 Tl 0.0000 0.0000 0.0000
10 Tl 0.0000 0.5000 0.5000

## Properties
DOS(E_F)	5.19	states/eV/f.u.
energy above the most stable polymorph in this dataset	0.254	eV/atom
energy	-14.2	eV/f.u.
crystal system	tetragonal
magnetization	1.27	μB/cell
energy of formation from the pure elements	0.105	eV/atom

---

The following is a PBE-GGA calculation of AcLa5Nd3 after structural relaxation, from Alexandria via LeMat-Bulk.

a = 7.1181 Å, b = 9.1612 Å, c = 12.0437 Å
α = 108.18°, β = 90.00°, γ = 112.86°
Fractional positions:
1 Ac 0.7556 0.0000 0.7500
2 Ac 0.2444 0.0000 0.2500
3 La 0.3006 0.0000 0.7500
4 La 0.7232 0.6504 0.1444
5 La 0.6092 0.2157 0.0490
6 La 0.2768 0.3496 0.8556
7 La 0.3935 0.7843 0.4510
8 La 0.6994 0.0000 0.2500
9 La 0.9272 0.6504 0.6444
10 La 0.0728 0.3496 0.3556
11 La 0.6065 0.2157 0.5490
12 La 0.3908 0.7843 0.9510
13 Nd 0.0000 0.0000 0.0000
14 Nd 0.6388 0.4882 0.3708
15 Nd 0.0000 0.0000 0.5000
16 Nd 0.3612 0.5118 0.6292
17 Nd 0.8494 0.4882 0.8708
18 Nd 0.1506 0.5118 0.1292

## Properties
DOS(E_F)	13.10	states/eV/f.u.
energy above the most stable polymorph in this dataset	0.000	eV/atom
energy	-41.7	eV/f.u.
crystal system	monoclinic
magnetization	0.00	μB/cell
energy of formation from the pure elements	0.146	eV/atom

---

The following is a PBE-GGA calculation of RbSBr2 after structural relaxation, from Alexandria via LeMat-Bulk.

a = 8.1111 Å, b = 8.1111 Å, c = 8.1111 Å
α = 41.41°, β = 41.41°, γ = 41.41°
Fractional positions:
1 S 0.0000 0.0000 0.0000
2 Br 0.8899 0.8899 0.8899
3 Br 0.1101 0.1101 0.1101
4 Rb 0.5000 0.5000 0.5000

## Properties
DOS(E_F)	7.13	states/eV/f.u.
energy above the most stable polymorph in this dataset	0.000	eV/atom
energy	-10.5	eV/f.u.
uncorrected formation energy	-517	meV per atom
crystal system	trigonal
magnetization	1.00	μB/cell

---

- Which value of magnetization does entry 1 give?
  0.00 μB/cell

---

- Which of these has the lowest DOS(E_F)?
  TaCdTe2